Computed, not measured: a geometry-optimized Tl4Cd4Hg3 structure at the GGA-PBE level of DFT.

Values from the calculation:
Crystal system: triclinic
Formation enthalpy at 0 K: 0.023 eV/atom

Unit cell a=3.490 b=5.131 c=16.769 alpha=93.76 beta=90.96 gamma=91.15
Fractional positions:
1 Tl 0.215 0.106 0.184
2 Tl 0.245 0.721 0.440
3 Tl 0.755 0.279 0.560
4 Tl 0.785 0.894 0.816
5 Cd 0.207 0.458 0.920
6 Cd 0.265 0.814 0.636
7 Cd 0.735 0.186 0.364
8 Cd 0.793 0.542 0.080
9 Hg 0.288 0.360 0.740
10 Hg 0.500 0.000 0.000
11 Hg 0.712 0.640 0.260